(1)
Entry from Alexandria: Er3RuPb after structural relaxation (PBE).

## Properties
space group: Fmmm
energy relative to the lowest polymorph listed for this composition: 0.0000 eV/atom
raw total energy: -5.74 eV per atom

Cell: 5.8500 5.8500 8.8756 Å, 101.79 101.78 112.39°
Closest atoms and distances in Å follow each position.
Positions (direct):
Ru 0.7500 0.7500 0.0000  8 Er 2.77-3.04
Er 0.9334 0.8052 0.7387  2 Ru 2.77
Er 0.0666 0.1948 0.2613  2 Ru 2.77
Pb 0.2778 0.7778 0.5000  1 Pb 2.89, 4 Er 3.23
Er 0.3007 0.8007 0.1016  4 Ru 3.04, 2 Er 3.33
Pb 0.7222 0.2222 0.5000  1 Pb 2.89, 4 Er 3.23
Er 0.6948 0.5666 0.2614  2 Ru 2.77
Er 0.3052 0.4334 0.7386  2 Ru 2.77
Ru 0.2500 0.2500 0.0000  8 Er 2.77-3.04
Er 0.6993 0.1993 0.8984  4 Ru 3.04, 2 Er 3.33


(2)
Entry from Alexandria: ErScRuPb after structural relaxation (PBE).

## Properties
space group: P4mm
energy relative to the lowest polymorph listed for this composition: 0.0000 eV/atom
raw total energy: -6.48 eV per atom

Cell: 3.3336 3.3336 7.9844 Å, 90.00 90.00 90.00°
Closest atoms and distances in Å follow each position.
Positions (direct):
Er 0.5000 0.5000 0.7711  4 Ru 2.92, 1 Sc 3.19
Pb 0.0000 0.0000 0.0872  4 Sc 3.28, 4 Pb 3.33, 4 Er 3.45
Ru 0.0000 0.0000 0.5544  4 Sc 2.77, 4 Er 2.92
Sc 0.5000 0.5000 0.3720  4 Ru 2.77


(3)
Entry from Alexandria: ErScRuPb after structural relaxation (PBE).

## Properties
space group: F-43m
energy relative to the lowest polymorph listed for this composition: 0.2199 eV/atom
raw total energy: -6.26 eV per atom

Cell: 4.9598 4.9598 4.9598 Å, 60.00 60.00 60.00°
Closest atoms and distances in Å follow each position.
Positions (direct):
Sc 0.0000 0.0000 0.0000  4 Ru 3.04, 4 Pb 3.04
Er 0.5000 0.5000 0.5000  4 Pb 3.04, 4 Ru 3.04
Pb 0.2500 0.2500 0.2500  4 Er 3.04, 4 Sc 3.04
Ru 0.7500 0.7500 0.7500  4 Er 3.04, 4 Sc 3.04


| no. | calculated volume (Å³/cell) |
| --- | --- |
| 1 | 261.25 |
| 2 | 88.73 |
| 3 | 86.27 |